Entry 1:
Material: K4CeO4
Method: DFT, PBE
State: relaxed

a b c (Å): 3.723 6.673 8.216
angles (deg): 75.47 76.90 73.80
Fractional coordinates of all 9 atoms:
1 K 0.708 0.408 0.176
2 K 0.877 0.850 0.395
3 K 0.292 0.592 0.824
4 K 0.123 0.150 0.605
5 Ce 0.500 0.000 0.000
6 O 0.324 0.101 0.250
7 O 0.676 0.899 0.750
8 O 0.932 0.228 0.908
9 O 0.068 0.772 0.092

Properties
Space group: C2/m (12)
Formation energy without anion corrections in eV/atom: -1.9497
Total energy in eV per formula unit: -47.7
Total moment in μB per formula unit: 0.08

Entry 2:
Material: KCeO2
Method: DFT, PBE
State: relaxed

a b c (Å): 3.636 3.636 12.659
angles (deg): 90.00 90.00 120.00
Each line ends with the local moment (μB).
Fractional coordinates of all 8 atoms:
1 K 0.667 0.333 0.250  0.01
2 K 0.333 0.667 0.750  0.01
3 Ce 0.000 0.000 0.500  0.90
4 Ce 0.000 0.000 0.000  0.90
5 O 0.333 0.667 0.405  -0.02
6 O 0.667 0.333 0.905  -0.02
7 O 0.667 0.333 0.595  -0.02
8 O 0.333 0.667 0.095  -0.02

Properties
Space group: P6_3/mmc (194)
Formation energy without anion corrections in eV/atom: -2.5815
Total energy in eV per formula unit: -27.3
Total moment in μB per formula unit: 1.01

Entry 3:
Material: KCeO
Method: DFT, PBE
State: relaxed

a b c (Å): 3.472 3.464 14.927
angles (deg): 90.00 90.00 120.08
Each line ends with the local moment (μB).
Fractional coordinates of all 6 atoms:
1 O 0.558 0.115 0.000  0.29
2 O 0.332 0.664 0.500  -0.02
3 Ce 0.665 0.330 0.394  0.83
4 Ce 0.665 0.330 0.606  0.83
5 K 0.223 0.447 0.896  0.00
6 K 0.223 0.447 0.104  0.00

Properties
Space group: Amm2 (38)
Formation energy without anion corrections in eV/atom: -0.9587
Total energy in eV per formula unit: -14.9
Total moment in μB per formula unit: 1.27